Record 1
VASP calculation (PBE) on an optimized crystal structure of TcHPt3.

Structure (POSCAR):
```
TcHPt3
1.0
4.8127 0.0000 0.0000
0.0000 4.8127 0.0000
0.0000 0.0000 4.8127
Tc H Pt
1 1 3
direct
0.0000 0.0000 0.0000 Tc
0.5000 0.5000 0.5000 H
0.0000 0.0000 0.5000 Pt
0.0000 0.5000 0.0000 Pt
0.5000 0.0000 0.0000 Pt
```

Calculated values
- energy above the most stable polymorph in this dataset (eV/atom) = 1.515
- Fermi-level density of states (states/eV/f.u.) = 4.97
- symmetry = Pm-3m


Record 2
VASP calculation (PBE) on an optimized crystal structure of Tc2HPt.

Structure (POSCAR):
```
Tc2HPt
1.0
-2.3254 2.3254 5.1983
2.3254 -2.3254 5.1983
2.3254 2.3254 -5.1983
Tc H Pt
4 2 2
direct
0.3750 0.2263 0.3513 Tc
0.7737 0.1250 0.1487 Tc
0.8750 0.0237 0.6487 Tc
0.9763 0.6250 0.8513 Tc
0.0000 0.0000 0.0000 H
0.7500 0.2500 0.5000 H
0.2500 0.7500 0.5000 Pt
0.5000 0.5000 0.0000 Pt
```

Calculated values
- energy above the most stable polymorph in this dataset (eV/atom) = 0.365
- Fermi-level density of states (states/eV/f.u.) = 2.30
- symmetry = I-42d


Record 3
VASP calculation (PBE) on an optimized crystal structure of Tc2HPt.

Structure (POSCAR):
```
Tc2HPt
1.0
1.3919 0.8036 7.4816
-1.3919 0.8036 7.4816
0.0000 -1.6073 7.4816
Tc H Pt
2 1 1
direct
0.1191 0.1191 0.1191 Tc
0.8809 0.8809 0.8809 Tc
0.5000 0.5000 0.5000 H
0.0000 0.0000 0.0000 Pt
```

Calculated values
- energy above the most stable polymorph in this dataset (eV/atom) = 0.000
- Fermi-level density of states (states/eV/f.u.) = 2.47
- symmetry = R-3m


Record 4
VASP calculation (PBE) on an optimized crystal structure of Tc2H2Pt.

Structure (POSCAR):
```
Tc2H2Pt
1.0
5.9899 0.0000 0.0000
0.0000 5.9899 0.0000
0.0000 0.0000 2.8762
Tc H Pt
4 4 2
direct
0.1348 0.3652 0.0000 Tc
0.3652 0.8652 0.0000 Tc
0.6348 0.1348 0.0000 Tc
0.8652 0.6348 0.0000 Tc
0.1352 0.6352 0.5000 H
0.3648 0.1352 0.5000 H
0.6352 0.8648 0.5000 H
0.8648 0.3648 0.5000 H
0.0000 0.0000 0.5000 Pt
0.5000 0.5000 0.5000 Pt
```

Calculated values
- energy above the most stable polymorph in this dataset (eV/atom) = 0.132
- Fermi-level density of states (states/eV/f.u.) = 3.70
- symmetry = P4/mbm


Record 5
VASP calculation (PBE) on an optimized crystal structure of TcHPt3.

Structure (POSCAR):
```
TcHPt3
1.0
4.0430 0.0000 0.0000
0.0000 4.0430 0.0000
0.0000 0.0000 4.0430
Tc H Pt
1 1 3
direct
0.0000 0.0000 0.0000 Tc
0.5000 0.5000 0.5000 H
0.0000 0.5000 0.5000 Pt
0.5000 0.0000 0.5000 Pt
0.5000 0.5000 0.0000 Pt
```

Calculated values
- energy above the most stable polymorph in this dataset (eV/atom) = 0.000
- Fermi-level density of states (states/eV/f.u.) = 3.51
- symmetry = Pm-3m


Record 6
VASP calculation (PBE) on an optimized crystal structure of Tc2HPt.

Structure (POSCAR):
```
Tc2HPt
1.0
0.0000 2.9896 2.9896
2.9896 0.0000 2.9896
2.9896 2.9896 0.0000
Tc H Pt
2 1 1
direct
0.2500 0.2500 0.2500 Tc
0.7500 0.7500 0.7500 Tc
0.0000 0.0000 0.0000 H
0.5000 0.5000 0.5000 Pt
```

Calculated values
- energy above the most stable polymorph in this dataset (eV/atom) = 0.505
- Fermi-level density of states (states/eV/f.u.) = 5.59
- symmetry = Fm-3m